1.
# RbFe2Te3

A geometry-optimized RbFe2Te3 structure (PBE, OQMD via LeMat-Bulk). Values from VASP.

Cell and atoms, written as Quantum ESPRESSO input:
```
&SYSTEM
  ibrav = 0, nat = 12, ntyp = 3
/
ATOMIC_SPECIES
Rb 85.47 Rb.upf
Fe 55.84 Fe.upf
Te 127.60 Te.upf
CELL_PARAMETERS angstrom
9.3236 0.0000 0.0000
0.0000 3.8381 0.0000
-4.3722 0.0000 9.1788
ATOMIC_POSITIONS crystal
Rb 0.0160 0.2500 0.2584
Rb 0.9840 0.7500 0.7416
Fe 0.4796 0.2500 0.1666
Fe 0.4811 0.7500 0.4115
Fe 0.5189 0.2500 0.5885
Fe 0.5204 0.7500 0.8334
Te 0.2796 0.7500 0.1454
Te 0.3163 0.7500 0.5646
Te 0.3600 0.2500 0.8803
Te 0.6400 0.7500 0.1197
Te 0.6837 0.2500 0.4354
Te 0.7204 0.2500 0.8546
```

Total magnetization = 3.06 μB/f.u.
Symmetry = P2_1/m
Final energy = -4.761 eV/atom

2.
# RbFe3Te2

A geometry-optimized RbFe3Te2 structure (PBE, OQMD via LeMat-Bulk). Values from VASP.

Cell and atoms, written as Quantum ESPRESSO input:
```
&SYSTEM
  ibrav = 0, nat = 12, ntyp = 3
/
ATOMIC_SPECIES
Rb 85.47 Rb.upf
Fe 55.84 Fe.upf
Te 127.60 Te.upf
CELL_PARAMETERS angstrom
8.0375 -2.0267 0.0000
8.0375 2.0267 0.0000
-3.1448 0.0000 8.7493
ATOMIC_POSITIONS crystal
Rb 0.1349 0.1349 0.0350
Rb 0.8651 0.8651 0.9650
Fe 0.0550 0.0550 0.4400
Fe 0.3071 0.3071 0.5236
Fe 0.4218 0.4218 0.4060
Fe 0.5782 0.5782 0.5940
Fe 0.6929 0.6929 0.4764
Fe 0.9450 0.9450 0.5600
Te 0.2013 0.2013 0.6864
Te 0.4674 0.4674 0.7519
Te 0.5326 0.5326 0.2481
Te 0.7987 0.7987 0.3136
```

Total magnetization = 8.08 μB/f.u.
Symmetry = C2/m
Final energy = -5.530 eV/atom

3.
# Rb7Fe4Te8

A geometry-optimized Rb7Fe4Te8 structure (PBE, OQMD via LeMat-Bulk). Values from VASP.

Cell and atoms, written as Quantum ESPRESSO input:
```
&SYSTEM
  ibrav = 0, nat = 38, ntyp = 3
/
ATOMIC_SPECIES
Rb 85.47 Rb.upf
Fe 55.84 Fe.upf
Te 127.60 Te.upf
CELL_PARAMETERS angstrom
9.9666 -4.4878 0.0000
9.9666 4.4878 0.0000
-8.1473 0.0000 15.6773
ATOMIC_POSITIONS crystal
Rb 0.0108 0.5063 0.8836
Rb 0.0171 0.4936 0.6332
Rb 0.2440 0.7491 0.5088
Rb 0.2447 0.7553 0.7500
Rb 0.2509 0.7560 0.9912
Rb 0.4936 0.0171 0.1332
Rb 0.4937 0.9892 0.6163
Rb 0.5063 0.0108 0.3836
Rb 0.5064 0.9829 0.8668
Rb 0.7491 0.2440 0.0088
Rb 0.7553 0.2447 0.2500
Rb 0.7560 0.2509 0.4912
Rb 0.9829 0.5064 0.3668
Rb 0.9892 0.4937 0.1164
Fe 0.1023 0.7952 0.2745
Fe 0.2048 0.8977 0.2255
Fe 0.3046 0.5928 0.1724
Fe 0.4072 0.6954 0.3276
Fe 0.5928 0.3046 0.6724
Fe 0.6954 0.4072 0.8276
Fe 0.7952 0.1023 0.7745
Fe 0.8977 0.2048 0.7255
Te 0.0048 0.1703 0.8841
Te 0.1221 0.1486 0.1853
Te 0.1486 0.1221 0.6853
Te 0.1703 0.0048 0.3841
Te 0.3374 0.3891 0.5476
Te 0.3383 0.4858 0.2926
Te 0.3891 0.3374 0.0476
Te 0.4858 0.3383 0.7926
Te 0.5142 0.6617 0.2074
Te 0.6109 0.6626 0.9524
Te 0.6617 0.5142 0.7074
Te 0.6626 0.6109 0.4524
Te 0.8297 0.9952 0.6159
Te 0.8514 0.8779 0.3147
Te 0.8779 0.8514 0.8147
Te 0.9952 0.8297 0.1159
```

Total magnetization = 11.01 μB/f.u.
Symmetry = C2/c
Final energy = -4.063 eV/atom